A plane-wave DFT calculation with GGA-PBEsol was carried out for a relaxed structure of CoS2.

```
CoS2
1.0
1.6894 0.9754 4.7297
-1.6894 0.9754 4.7297
0.0000 -1.9507 4.7297
Co S
1 2
Direct
0.0000 0.0000 0.0000
0.4077 0.4077 0.4077
0.5923 0.5923 0.5923
```

Summary:
ρ: 4.370 Mg/m³
Raw formation energy: -113.2 kJ/mol of formula units
V: 46.8 Å³/f.u.
Space-group type: R-3m, No. 166


A plane-wave DFT calculation with GGA-PBEsol was carried out for a relaxed structure of ReAs2Ru.

```
ReAs2Ru
1.0
-1.5043 2.0911 4.7038
1.5043 -2.0911 4.7038
1.5043 2.0911 -4.7038
Re As Ru
1 2 1
Direct
0.0000 0.0000 0.0000
0.4950 0.4950 0.0000
0.7698 0.2698 0.5000
0.2741 0.7741 0.5000
```

Summary:
ρ: 12.264 Mg/m³
Energy above the lowest structure with this stoichiometry: 117 meV per atom
V: 59.2 Å³/f.u.
Formation enthalpy at 0 K: 0.26 eV per atom
Space-group type: Imm2, No. 44


A plane-wave DFT calculation with GGA-PBEsol was carried out for a relaxed structure of BaGaGeH.

```
BaGaGeH
1.0
4.3088 0.0000 0.0000
-2.1544 3.7315 0.0000
0.0000 0.0000 5.1085
Ba Ga Ge H
1 1 1 1
Direct
0.0000 0.0000 0.0000
0.3333 0.6667 0.4536
0.6667 0.3333 0.5512
0.3333 0.6667 0.1147
```

Summary:
ρ: 5.675 Mg/m³
V: 82.1 Å³/f.u.
Space-group type: P3m1, No. 156


A plane-wave DFT calculation with GGA-PBEsol was carried out for a relaxed structure of YIr2Rh.

```
YIr2Rh
1.0
-1.9904 1.9904 4.0558
1.9904 -1.9904 4.0558
1.9904 1.9904 -4.0558
Y Ir Rh
1 2 1
Direct
0.0000 0.0000 0.0000
0.2500 0.7500 0.5000
0.7500 0.2500 0.5000
0.5000 0.5000 0.0000
```

Summary:
ρ: 14.888 Mg/m³
Energy above the lowest structure with this stoichiometry: 0 meV per atom
V: 64.3 Å³/f.u.
Formation enthalpy at 0 K: -0.26 eV per atom
Space-group type: I4/mmm, No. 139


Q: Which total DFT energy (no corrections) values were calculated for the entries above? A: -17.679; -32.668; -15.856; -35.642, in eV/cell.